Arrangement P

Entry from OQMD via LeMat-Bulk: NaNbCdS3 after structural relaxation (GGA-PBE).

The structure in POSCAR format:
```
NaNbCdS3
1.0
1.859 -6.721 0.000
1.859 6.721 0.000
0.000 0.000 10.126
Na Nb Cd S
2 2 2 6
direct
0.239 0.761 0.750 Na
0.761 0.239 0.250 Na
0.500 0.500 0.000 Nb
0.500 0.500 0.500 Nb
0.052 0.948 0.250 Cd
0.948 0.052 0.750 Cd
0.134 0.866 0.032 S
0.134 0.866 0.468 S
0.422 0.578 0.250 S
0.578 0.422 0.750 S
0.866 0.134 0.532 S
0.866 0.134 0.968 S
```



Arrangement Q

Entry from OQMD via LeMat-Bulk: NaNbCdS3 after structural relaxation (GGA-PBE).

The structure in POSCAR format:
```
NaNbCdS3
1.0
7.246 0.000 0.000
0.000 3.569 0.000
-3.258 0.000 10.142
Na Nb Cd S
2 2 2 6
direct
0.180 0.250 0.174 Na
0.820 0.750 0.826 Na
0.136 0.750 0.592 Nb
0.864 0.250 0.408 Nb
0.387 0.250 0.871 Cd
0.613 0.750 0.129 Cd
0.072 0.750 0.354 S
0.237 0.750 0.980 S
0.401 0.250 0.640 S
0.599 0.750 0.360 S
0.763 0.250 0.020 S
0.928 0.250 0.646 S
```



Which of them is the most stable? Correct choice: arrangement Q.



Arrangement P

Entry from OQMD via LeMat-Bulk: NaNbCdSe3 after structural relaxation (GGA-PBE).

The structure in POSCAR format:
```
NaNbCdSe3
1.0
1.928 -7.002 0.000
1.928 7.002 0.000
0.000 0.000 10.448
Na Nb Cd Se
2 2 2 6
direct
0.245 0.755 0.750 Na
0.755 0.245 0.250 Na
0.000 0.000 0.000 Nb
0.000 0.000 0.500 Nb
0.460 0.540 0.250 Cd
0.540 0.460 0.750 Cd
0.089 0.911 0.250 Se
0.364 0.636 0.037 Se
0.364 0.636 0.463 Se
0.636 0.364 0.537 Se
0.636 0.364 0.963 Se
0.911 0.089 0.750 Se
```



Arrangement Q

Entry from OQMD via LeMat-Bulk: NaNbCdSe3 after structural relaxation (GGA-PBE).

The structure in POSCAR format:
```
NaNbCdSe3
1.0
7.603 0.000 0.000
0.000 3.739 0.000
-3.484 0.000 10.158
Na Nb Cd Se
2 2 2 6
direct
0.234 0.250 0.192 Na
0.766 0.750 0.808 Na
0.129 0.750 0.595 Nb
0.871 0.250 0.405 Nb
0.393 0.250 0.875 Cd
0.607 0.750 0.125 Cd
0.075 0.750 0.346 Se
0.227 0.750 0.972 Se
0.398 0.250 0.631 Se
0.602 0.750 0.369 Se
0.773 0.250 0.028 Se
0.925 0.250 0.654 Se
```



Which of them is the most stable? Correct choice: arrangement Q.



Arrangement P

Entry from OQMD via LeMat-Bulk: NaNbCdTe3 after structural relaxation (GGA-PBE).

The structure in POSCAR format:
```
NaNbCdTe3
1.0
8.299 0.000 0.000
0.000 4.076 0.000
-3.288 0.000 10.137
Na Nb Cd Te
2 2 2 6
direct
0.249 0.250 0.227 Na
0.751 0.750 0.773 Na
0.193 0.750 0.660 Nb
0.807 0.250 0.340 Nb
0.425 0.250 0.878 Cd
0.575 0.750 0.122 Cd
0.062 0.750 0.375 Te
0.221 0.750 0.949 Te
0.423 0.250 0.615 Te
0.577 0.750 0.385 Te
0.779 0.250 0.051 Te
0.938 0.250 0.625 Te
```



Arrangement Q

Entry from OQMD via LeMat-Bulk: NaNbCdTe3 after structural relaxation (GGA-PBE).

The structure in POSCAR format:
```
NaNbCdTe3
1.0
2.040 -7.446 0.000
2.040 7.446 0.000
0.000 0.000 11.006
Na Nb Cd Te
2 2 2 6
direct
0.234 0.766 0.750 Na
0.766 0.234 0.250 Na
0.000 0.000 0.000 Nb
0.000 0.000 0.500 Nb
0.459 0.541 0.250 Cd
0.541 0.459 0.750 Cd
0.090 0.910 0.250 Te
0.361 0.639 0.035 Te
0.361 0.639 0.465 Te
0.639 0.361 0.535 Te
0.639 0.361 0.965 Te
0.910 0.090 0.750 Te
```



Which of them is the most stable? Correct choice: arrangement P.



Arrangement P

Entry from OQMD via LeMat-Bulk: NaNdCdSe3 after structural relaxation (GGA-PBE).

The structure in POSCAR format:
```
NaNdCdSe3
1.0
11.393 0.000 0.000
0.000 4.261 0.000
0.000 0.000 13.685
Na Nd Cd Se
4 4 4 12
direct
0.216 0.250 0.006 Na
0.284 0.750 0.506 Na
0.716 0.250 0.494 Na
0.784 0.750 0.994 Na
0.010 0.750 0.739 Nd
0.490 0.250 0.239 Nd
0.510 0.750 0.761 Nd
0.990 0.250 0.261 Nd
0.239 0.750 0.220 Cd
0.261 0.250 0.720 Cd
0.739 0.750 0.280 Cd
0.761 0.250 0.780 Cd
0.047 0.750 0.115 Se
0.081 0.250 0.601 Se
0.242 0.250 0.340 Se
0.258 0.750 0.840 Se
0.419 0.750 0.101 Se
0.453 0.250 0.615 Se
0.547 0.750 0.385 Se
0.581 0.250 0.899 Se
0.742 0.250 0.160 Se
0.758 0.750 0.660 Se
0.919 0.750 0.399 Se
0.953 0.250 0.885 Se
```



Arrangement Q

Entry from OQMD via LeMat-Bulk: NaNdCdSe3 after structural relaxation (GGA-PBE).

The structure in POSCAR format:
```
NaNdCdSe3
1.0
8.213 0.000 0.000
0.000 4.310 0.000
0.000 0.000 17.583
Na Nd Cd Se
4 4 4 12
direct
0.060 0.250 0.199 Na
0.440 0.750 0.699 Na
0.560 0.250 0.301 Na
0.940 0.750 0.801 Na
0.229 0.250 0.961 Nd
0.271 0.750 0.461 Nd
0.729 0.250 0.539 Nd
0.771 0.750 0.039 Nd
0.073 0.250 0.662 Cd
0.427 0.750 0.162 Cd
0.573 0.250 0.838 Cd
0.927 0.750 0.338 Cd
0.011 0.250 0.422 Se
0.127 0.750 0.067 Se
0.231 0.250 0.790 Se
0.269 0.750 0.290 Se
0.373 0.250 0.567 Se
0.489 0.750 0.922 Se
0.511 0.250 0.078 Se
0.627 0.750 0.433 Se
0.731 0.250 0.710 Se
0.769 0.750 0.210 Se
0.873 0.250 0.933 Se
0.989 0.750 0.578 Se
```



Arrangement R

Entry from OQMD via LeMat-Bulk: NaNdCdSe3 after structural relaxation (GGA-PBE).

The structure in POSCAR format:
```
NaNdCdSe3
1.0
12.506 0.000 0.000
0.000 4.289 0.000
0.000 0.000 12.397
Na Nd Cd Se
4 4 4 12
direct
0.131 0.250 0.006 Na
0.369 0.750 0.506 Na
0.631 0.250 0.494 Na
0.869 0.750 0.994 Na
0.041 0.250 0.673 Nd
0.459 0.750 0.173 Nd
0.541 0.250 0.827 Nd
0.959 0.750 0.327 Nd
0.238 0.250 0.286 Cd
0.262 0.750 0.786 Cd
0.738 0.250 0.214 Cd
0.762 0.750 0.714 Cd
0.058 0.750 0.846 Se
0.086 0.250 0.429 Se
0.222 0.750 0.156 Se
0.278 0.250 0.656 Se
0.414 0.750 0.929 Se
0.442 0.250 0.346 Se
0.558 0.750 0.654 Se
0.586 0.250 0.071 Se
0.722 0.750 0.344 Se
0.778 0.250 0.844 Se
0.914 0.750 0.571 Se
0.942 0.250 0.154 Se
```



Arrangement S

Entry from OQMD via LeMat-Bulk: NaNdCdSe3 after structural relaxation (GGA-PBE).

The structure in POSCAR format:
```
NaNdCdSe3
1.0
9.018 -2.116 0.000
9.018 2.116 0.000
-2.477 0.000 8.690
Na Nd Cd Se
2 2 2 6
direct
0.126 0.126 0.075 Na
0.874 0.874 0.925 Na
0.178 0.178 0.608 Nd
0.822 0.822 0.392 Nd
0.485 0.485 0.282 Cd
0.515 0.515 0.718 Cd
0.000 0.000 0.500 Se
0.327 0.327 0.172 Se
0.341 0.341 0.633 Se
0.500 0.500 0.000 Se
0.659 0.659 0.367 Se
0.673 0.673 0.828 Se
```



Which of them is the most stable? Correct choice: arrangement R.



Arrangement P

Entry from OQMD via LeMat-Bulk: NaCdNiSb after structural relaxation (GGA-PBE).

The structure in POSCAR format:
```
NaCdNiSb
1.0
0.000 3.402 3.402
3.402 0.000 3.402
3.402 3.402 0.000
Na Cd Ni Sb
1 1 1 1
direct
0.000 0.000 0.000 Na
0.750 0.750 0.750 Cd
0.250 0.250 0.250 Ni
0.500 0.500 0.500 Sb
```



Arrangement Q

Entry from OQMD via LeMat-Bulk: NaCdNiSb after structural relaxation (GGA-PBE).

The structure in POSCAR format:
```
NaCdNiSb
1.0
0.000 3.426 3.426
3.426 0.000 3.426
3.426 3.426 0.000
Na Cd Ni Sb
1 1 1 1
direct
0.000 0.000 0.000 Na
0.500 0.500 0.500 Cd
0.250 0.250 0.250 Ni
0.750 0.750 0.750 Sb
```



Arrangement R

Entry from OQMD via LeMat-Bulk: NaCdNiSb after structural relaxation (GGA-PBE).

The structure in POSCAR format:
```
NaCdNiSb
1.0
0.000 3.356 3.356
3.356 0.000 3.356
3.356 3.356 0.000
Na Cd Ni Sb
1 1 1 1
direct
0.000 0.000 0.000 Na
0.250 0.250 0.250 Cd
0.500 0.500 0.500 Ni
0.750 0.750 0.750 Sb
```



Which of them is the most stable? Correct choice: arrangement R.



Arrangement P

Entry from OQMD via LeMat-Bulk: NaTaCdNi after structural relaxation (GGA-PBE).

The structure in POSCAR format:
```
NaTaCdNi
1.0
0.000 3.263 3.263
3.263 0.000 3.263
3.263 3.263 0.000
Na Ta Cd Ni
1 1 1 1
direct
0.000 0.000 0.000 Na
0.500 0.500 0.500 Ta
0.750 0.750 0.750 Cd
0.250 0.250 0.250 Ni
```



Arrangement Q

Entry from OQMD via LeMat-Bulk: NaTaCdNi after structural relaxation (GGA-PBE).

The structure in POSCAR format:
```
NaTaCdNi
1.0
0.000 3.192 3.192
3.192 0.000 3.192
3.192 3.192 0.000
Na Ta Cd Ni
1 1 1 1
direct
0.000 0.000 0.000 Na
0.750 0.750 0.750 Ta
0.250 0.250 0.250 Cd
0.500 0.500 0.500 Ni
```



Which of them is the most stable? Correct choice: arrangement Q.



Arrangement P

Entry from OQMD via LeMat-Bulk: NaCdPO after structural relaxation (GGA-PBE).

The structure in POSCAR format:
```
NaCdPO
1.0
4.091 0.000 0.000
0.000 4.091 0.000
0.000 0.000 8.600
Na Cd P O
2 2 2 2
direct
0.250 0.750 0.000 Na
0.750 0.250 0.000 Na
0.250 0.250 0.385 Cd
0.750 0.750 0.615 Cd
0.250 0.250 0.763 P
0.750 0.750 0.237 P
0.250 0.750 0.500 O
0.750 0.250 0.500 O
```



Arrangement Q

Entry from OQMD via LeMat-Bulk: NaCdPO after structural relaxation (GGA-PBE).

The structure in POSCAR format:
```
NaCdPO
1.0
3.874 0.000 0.000
0.000 7.858 0.000
0.000 0.000 4.692
Na Cd P O
2 2 2 2
direct
0.000 0.151 0.000 Na
0.000 0.849 0.500 Na
0.500 0.235 0.501 Cd
0.500 0.765 0.001 Cd
0.500 0.440 0.002 P
0.500 0.560 0.502 P
0.000 0.128 0.500 O
0.000 0.872 0.000 O
```



Arrangement R

Entry from OQMD via LeMat-Bulk: NaCdPO after structural relaxation (GGA-PBE).

The structure in POSCAR format:
```
NaCdPO
1.0
4.334 0.000 0.000
0.000 4.334 0.000
0.000 0.000 6.832
Na Cd P O
2 2 2 2
direct
0.250 0.250 0.126 Na
0.750 0.750 0.874 Na
0.250 0.750 0.500 Cd
0.750 0.250 0.500 Cd
0.250 0.250 0.735 P
0.750 0.750 0.265 P
0.250 0.750 0.000 O
0.750 0.250 0.000 O
```



Arrangement S

Entry from OQMD via LeMat-Bulk: NaCdPO after structural relaxation (GGA-PBE).

The structure in POSCAR format:
```
NaCdPO
1.0
4.360 0.000 0.000
0.000 7.228 0.000
0.000 0.000 4.357
Na Cd P O
2 2 2 2
direct
0.000 0.166 0.000 Na
0.000 0.834 0.500 Na
0.500 0.206 0.502 Cd
0.500 0.794 0.002 Cd
0.000 0.438 0.501 P
0.000 0.562 0.001 P
0.500 0.121 0.001 O
0.500 0.879 0.501 O
```



Which of them is the most stable? Correct choice: arrangement S.



Arrangement P

Entry from OQMD via LeMat-Bulk: NaCdTcOs after structural relaxation (GGA-PBE).

The structure in POSCAR format:
```
NaCdTcOs
1.0
0.000 3.190 3.190
3.190 0.000 3.190
3.190 3.190 0.000
Na Cd Tc Os
1 1 1 1
direct
0.000 0.000 0.000 Na
0.750 0.750 0.750 Cd
0.250 0.250 0.250 Tc
0.500 0.500 0.500 Os
```



Arrangement Q

Entry from OQMD via LeMat-Bulk: NaCdTcOs after structural relaxation (GGA-PBE).

The structure in POSCAR format:
```
NaCdTcOs
1.0
0.000 3.194 3.194
3.194 0.000 3.194
3.194 3.194 0.000
Na Cd Tc Os
1 1 1 1
direct
0.000 0.000 0.000 Na
0.250 0.250 0.250 Cd
0.500 0.500 0.500 Tc
0.750 0.750 0.750 Os
```



Which of them is the most stable? Correct choice: arrangement P.



Arrangement P

Entry from OQMD via LeMat-Bulk: NaCdSbPt after structural relaxation (GGA-PBE).

The structure in POSCAR format:
```
NaCdSbPt
1.0
0.000 3.463 3.463
3.463 0.000 3.463
3.463 3.463 0.000
Na Cd Sb Pt
1 1 1 1
direct
0.000 0.000 0.000 Na
0.500 0.500 0.500 Cd
0.750 0.750 0.750 Sb
0.250 0.250 0.250 Pt
```



Arrangement Q

Entry from OQMD via LeMat-Bulk: NaCdSbPt after structural relaxation (GGA-PBE).

The structure in POSCAR format:
```
NaCdSbPt
1.0
0.000 3.416 3.416
3.416 0.000 3.416
3.416 3.416 0.000
Na Cd Sb Pt
1 1 1 1
direct
0.000 0.000 0.000 Na
0.250 0.250 0.250 Cd
0.750 0.750 0.750 Sb
0.500 0.500 0.500 Pt
```



Which of them is the most stable? Correct choice: arrangement Q.